No. 1
# PmUOs2 (PBE-GGA, relaxed)
# Energy above the lowest structure with this stoichiometry   184 meV/atom
# M_tot   0.371 μB/atom
# Formation energy   122 meV/atom
# Raw total energy   -0.698 Ry per atom
data_PmUOs2
_chemical_formula_sum 'Pm4 U4 Os8'
_cell_length_a 6.887
_cell_length_b 6.887
_cell_length_c 6.887
_cell_angle_alpha 90.00
_cell_angle_beta 90.00
_cell_angle_gamma 90.00
_symmetry_space_group_name_H-M 'F m -3 m'
_symmetry_Int_Tables_number 225
_symmetry_space_group_name_Hall '-F 4 2 3'
loop_
_atom_site_label
_atom_site_fract_x
_atom_site_fract_y
_atom_site_fract_z
_atom_site_occupancy
Pm1 0.000 0.000 0.000 1
U1 0.000 0.000 0.500 1
Os1 0.250 0.250 0.250 1

---

No. 2
# CaSmAu (PBE-GGA, relaxed)
# Energy above the lowest structure with this stoichiometry   40 meV/atom
# M_tot   0.000 μB/atom
# Formation energy   -473 meV/atom
# Raw total energy   -0.280 Ry per atom
data_CaSmAu
_chemical_formula_sum 'Ca6 Sm6 Au6'
_cell_length_a 5.0651
_cell_length_b 5.0651
_cell_length_c 25.2020
_cell_angle_alpha 90.00
_cell_angle_beta 90.00
_cell_angle_gamma 120.00
_symmetry_space_group_name_H-M 'R -3 m'
_symmetry_Int_Tables_number 166
_symmetry_space_group_name_Hall '-R 3 2"'
loop_
_atom_site_label
_atom_site_fract_x
_atom_site_fract_y
_atom_site_fract_z
_atom_site_occupancy
Ca1 0.0000 0.0000 0.1266 1
Sm1 0.0000 0.0000 0.3756 1
Au1 0.0000 0.0000 0.2555 1